Material: Tb2MnVN5
Method: DFT, GGA-PBE
State: relaxed

a = 3.2414 Å, b = 13.5057 Å, c = 9.7813 Å
α = 90.00°, β = 90.00°, γ = 90.00°
Space group Cmc2_1 (No. 36)
Symmetry-distinct sites (fractional):
Tb (0.0000, 0.1167, 0.0000) [4 per cell]
Tb (0.0000, 0.1346, 0.6392) [4 per cell]
Mn (0.0000, 0.2123, 0.3540) [4 per cell]
V (0.0000, 0.4390, 0.7741) [4 per cell]
N (0.0000, 0.0495, 0.3662) [4 per cell]
N (0.0000, 0.2888, 0.9824) [4 per cell]
N (0.0000, 0.3113, 0.7133) [4 per cell]
N (0.0000, 0.3510, 0.3313) [4 per cell]
N (0.0000, 0.5000, 0.1162) [4 per cell]

* E: -313.5 eV/cell
* V: 11.89 Å³ per atom
* ΔE_f (raw): -1.021 eV per atom

=====

Material: Tb2MnWN5
Method: DFT, GGA-PBE
State: relaxed

a = 3.1901 Å, b = 13.7388 Å, c = 9.8008 Å
α = 90.00°, β = 90.00°, γ = 90.00°
Space group Cmc2_1 (No. 36)
Symmetry-distinct sites (fractional):
Tb (0.0000, 0.1196, 0.0000) [4 per cell]
Tb (0.0000, 0.1280, 0.6300) [4 per cell]
Mn (0.0000, 0.4478, 0.7599) [4 per cell]
W (0.0000, 0.2022, 0.3274) [4 per cell]
N (0.0000, 0.0322, 0.3407) [4 per cell]
N (0.0000, 0.3005, 0.9683) [4 per cell]
N (0.0000, 0.3169, 0.6811) [4 per cell]
N (0.0000, 0.3403, 0.3147) [4 per cell]
N (0.0000, 0.4978, 0.5949) [4 per cell]

* E: -324.0 eV/cell
* V: 11.93 Å³ per atom
* ΔE_f (raw): -0.888 eV per atom

=====

Material: Tb2YMnN4
Method: DFT, GGA-PBE
State: relaxed

a = 3.3706 Å, b = 11.4070 Å, c = 11.5732 Å
α = 90.00°, β = 90.00°, γ = 90.00°
Space group Cmcm (No. 63)
Symmetry-distinct sites (fractional):
Tb (0.0000, 0.1322, 0.0434) [8 per cell]
Y (0.0000, 0.3810, 0.2500) [4 per cell]
Mn (0.0000, 0.3481, 0.7500) [4 per cell]
N (0.0000, 0.0755, 0.2500) [4 per cell]
N (0.0000, 0.2321, 0.6345) [8 per cell]
N (0.0000, 0.5000, 0.0000) [4 per cell]

* E: -269.5 eV/cell
* V: 13.91 Å³ per atom
* ΔE_f (raw): -1.146 eV per atom